--- P ---
Li3NbBr | Alexandria via LeMat-Bulk | PBE-GGA | optimized geometry; Fermi-level density of states = 0.04 states/eV per atom
1.0
-0.641 -2.344 4.833
-4.041 -2.995 -1.989
3.538 -3.846 -1.396
Nb Br Li
1 1 3
direct
0.000 0.000 0.000
0.500 0.500 0.500
0.000 0.500 0.000
0.000 0.000 0.500
0.500 0.000 0.000



--- Q ---
Li3NbBr | Alexandria via LeMat-Bulk | PBE-GGA | optimized geometry; Fermi-level density of states = 0.43 states/eV per atom
1.0
4.890 0.000 0.000
0.000 4.890 0.000
0.000 0.000 4.890
Nb Br Li
1 1 3
direct
0.500 0.500 0.500
0.000 0.000 0.000
0.000 0.500 0.000
0.000 0.000 0.500
0.500 0.000 0.000



In terms of stability, Q leads; the second structure lies 0.495 eV/atom higher.



--- P ---
LiNb2Br6 | Alexandria via LeMat-Bulk | PBE-GGA | optimized geometry; Fermi-level density of states = 0.64 states/eV per atom
1.0
-5.386 3.375 0.804
-6.882 -5.881 4.196
-1.829 0.856 9.771
Li Nb Br
2 4 12
direct
0.250 0.018 0.982
0.750 0.982 0.018
0.158 0.703 0.807
0.342 0.193 0.297
0.842 0.297 0.193
0.658 0.807 0.703
0.548 0.607 0.655
0.952 0.345 0.393
0.452 0.393 0.345
0.048 0.655 0.607
0.758 0.013 0.380
0.742 0.620 0.987
0.242 0.987 0.620
0.258 0.380 0.013
0.110 0.777 0.045
0.390 0.955 0.223
0.890 0.223 0.955
0.610 0.045 0.777



--- Q ---
LiNb2Br6 | Alexandria via LeMat-Bulk | PBE-GGA | optimized geometry; Fermi-level density of states = 0.26 states/eV per atom
1.0
-0.926 -0.892 -3.320
2.815 -6.649 2.911
-10.521 3.228 2.066
Li Nb Br
1 2 6
direct
0.000 0.000 0.500
0.692 0.385 0.877
0.308 0.615 0.123
0.032 0.064 0.772
0.667 0.334 0.092
0.333 0.666 0.908
0.650 0.300 0.609
0.350 0.700 0.391
0.968 0.936 0.228



In terms of stability, Q leads; the second structure lies 0.274 eV/atom higher.



--- P ---
Rb2LiNbBr6 | Alexandria via LeMat-Bulk | PBE-GGA | optimized geometry; Fermi-level density of states = 0.79 states/eV per atom
1.0
-0.731 4.206 -6.348
-7.613 -0.545 0.516
-4.291 6.332 0.081
Nb Br Rb Li
1 6 2 1
direct
0.000 0.000 0.000
0.246 0.246 0.509
0.754 0.754 0.491
0.246 0.246 0.000
0.754 0.754 0.000
0.754 0.246 0.000
0.246 0.754 0.000
0.750 0.250 0.500
0.250 0.750 0.500
0.500 0.500 0.000



--- Q ---
Rb2LiNbBr6 | Alexandria via LeMat-Bulk | PBE-GGA | optimized geometry; Fermi-level density of states = 0.84 states/eV per atom
1.0
-3.420 -2.856 6.209
3.065 -5.979 3.641
6.638 5.013 10.665
Rb Li Nb Br
4 2 2 12
direct
0.876 0.876 0.373
0.124 0.124 0.627
0.704 0.704 0.887
0.296 0.296 0.113
0.584 0.584 0.249
0.416 0.416 0.751
0.000 0.000 0.000
0.500 0.500 0.500
0.866 0.378 0.378
0.378 0.866 0.378
0.378 0.378 0.378
0.134 0.622 0.622
0.622 0.134 0.622
0.622 0.622 0.622
0.713 0.204 0.879
0.204 0.713 0.879
0.204 0.204 0.879
0.287 0.796 0.121
0.796 0.287 0.121
0.796 0.796 0.121



In terms of stability, Q leads; the second structure lies 0.013 eV/atom higher.



--- P ---
LiNd2Br6 | Alexandria via LeMat-Bulk | PBE-GGA | optimized geometry; Fermi-level density of states = 0.28 states/eV per atom
1.0
3.754 0.000 0.685
1.660 7.432 1.529
-0.094 0.155 11.137
Li Nd Br
1 2 6
direct
0.000 0.000 0.000
0.317 0.064 0.302
0.683 0.936 0.698
0.804 0.274 0.118
0.196 0.726 0.882
0.346 0.774 0.535
0.990 0.798 0.222
0.010 0.202 0.778
0.654 0.226 0.465



--- Q ---
LiNd2Br6 | Alexandria via LeMat-Bulk | PBE-GGA | optimized geometry; Fermi-level density of states = 0.10 states/eV per atom
1.0
-1.753 -4.746 -2.909
6.542 -0.769 3.165
-6.275 -1.364 6.008
Li Nd Br
1 2 6
direct
0.000 0.000 0.500
0.810 0.619 0.900
0.190 0.381 0.100
0.998 0.995 0.785
0.673 0.345 0.102
0.327 0.655 0.898
0.650 0.299 0.595
0.350 0.701 0.405
0.002 0.005 0.215



In terms of stability, P leads; the second structure lies 0.054 eV/atom higher.



--- P ---
Li2NiBr | Alexandria via LeMat-Bulk | PBE-GGA | optimized geometry; Fermi-level density of states = 0.27 states/eV per atom
1.0
4.305 -0.018 0.000
-0.917 4.207 0.000
0.000 0.000 3.361
Br Li Ni
1 2 1
direct
0.000 0.500 0.500
0.000 0.000 0.000
0.500 0.500 0.000
0.500 0.000 0.500



--- Q ---
Li2NiBr | Alexandria via LeMat-Bulk | PBE-GGA | optimized geometry; Fermi-level density of states = 0.32 states/eV per atom
1.0
4.432 0.000 0.000
2.216 3.838 0.000
2.216 1.279 3.619
Br Li Ni
1 2 1
direct
0.500 0.500 0.500
0.000 0.000 0.000
0.750 0.750 0.750
0.250 0.250 0.250



In terms of stability, P leads; the second structure lies 0.181 eV/atom higher.



--- P ---
Li2NiBr | Alexandria via LeMat-Bulk | PBE-GGA | optimized geometry; Fermi-level density of states = 0.71 states/eV per atom
1.0
3.404 0.000 0.000
0.000 3.567 0.021
0.000 1.701 5.649
Br Li Ni
1 2 1
direct
0.500 0.536 0.795
0.000 0.948 0.973
0.500 0.299 0.283
0.000 0.718 0.449



--- Q ---
Li2NiBr | Alexandria via LeMat-Bulk | PBE-GGA | optimized geometry; Fermi-level density of states = 1.34 states/eV per atom
1.0
3.460 0.000 0.000
0.000 3.460 0.000
0.000 0.000 5.787
Br Li Ni
1 2 1
direct
0.500 0.500 0.813
0.000 0.000 0.977
0.500 0.500 0.273
0.000 0.000 0.437



In terms of stability, P leads; the second structure lies 0.043 eV/atom higher.